# SCAN Ca2TiMnO6, PBEsol geometry
data_Ca2TiMnO6
_chemical_formula_sum 'Ca4 Ti2 Mn2 O12'
_cell_length_a 5.286
_cell_length_b 5.346
_cell_length_c 9.168
_cell_angle_alpha 90.00
_cell_angle_beta 125.10
_cell_angle_gamma 90.00
_symmetry_space_group_name_H-M 'P 1'
_symmetry_Int_Tables_number 1
_symmetry_space_group_name_Hall 'P 1'
loop_
_atom_site_label
_atom_site_type_symbol
_atom_site_fract_x
_atom_site_fract_y
_atom_site_fract_z
_atom_site_occupancy
Ca1 Ca 0.242 0.039 0.249 1
Ca2 Ca 0.242 0.461 0.749 1
Ca3 Ca 0.758 0.539 0.251 1
Ca4 Ca 0.758 0.961 0.751 1
Ti1 Ti 0.500 0.000 0.000 1
Ti2 Ti 0.500 0.500 0.500 1
Mn1 Mn 0.000 0.000 0.500 1
Mn2 Mn 0.000 0.500 0.000 1
O1 O 0.171 0.216 0.963 1
O2 O 0.171 0.284 0.463 1
O3 O 0.247 0.709 0.963 1
O4 O 0.247 0.791 0.463 1
O5 O 0.316 0.014 0.746 1
O6 O 0.316 0.486 0.246 1
O7 O 0.684 0.514 0.754 1
O8 O 0.684 0.986 0.254 1
O9 O 0.753 0.209 0.537 1
O10 O 0.753 0.291 0.037 1
O11 O 0.829 0.716 0.537 1
O12 O 0.829 0.784 0.037 1
# relative energy among the computed polymorphs: 0.00 eV/f.u.
# density of states at the Fermi level: 0.000 states/eV/atom
# E: -12.195 eV/atom